# CuAgRh2 (PBE, relaxed)
data_CuAgRh2
_chemical_formula_sum 'Cu2 Ag2 Rh4'
_space_group_name_H-M_alt 'I m m 2'
_space_group_IT_number 44
_space_group_name_Hall 'I 2 -2'
_cell_length_a 2.8523
_cell_length_b 4.6047
_cell_length_c 9.0163
_cell_angle_alpha 90.00
_cell_angle_beta 90.00
_cell_angle_gamma 90.00
loop_
_atom_site_label
_atom_site_type_symbol
_atom_site_fract_x
_atom_site_fract_y
_atom_site_fract_z
_atom_site_occupancy
Cu1 Cu 0.0000 0.0000 0.0000 1
Ag1 Ag 0.0000 0.5000 0.2524 1
Rh1 Rh 0.0000 0.0000 0.4833 1
Rh2 Rh 0.0000 0.5000 0.7409 1
# - distance to the lowest polymorph of the same formula (meV per atom) = 162
# - N(E_F) (states/eV/f.u.) = 6.348
# - DFT formation energy (eV per formula unit) = 1.10
# - total energy (eV/atom) = -5.14
# - M_tot (μB per formula unit) = 0.637


# La12Co5Pb3 (PBE, relaxed)
data_La12Co5Pb3
_chemical_formula_sum 'La96 Co40 Pb24'
_space_group_name_H-M_alt 'I a -3 d'
_space_group_IT_number 230
_space_group_name_Hall '-I 4bd 2c 3'
_cell_length_a 17.3948
_cell_length_b 17.3948
_cell_length_c 17.3948
_cell_angle_alpha 90.00
_cell_angle_beta 90.00
_cell_angle_gamma 90.00
loop_
_atom_site_label
_atom_site_type_symbol
_atom_site_fract_x
_atom_site_fract_y
_atom_site_fract_z
_atom_site_occupancy
La1 La 0.0312 0.0525 0.6485 1
Co1 Co 0.0000 0.0000 0.0000 1
Co2 Co 0.0000 0.2500 0.3750 1
Pb1 Pb 0.0000 0.2500 0.1250 1
# - N(E_F) (states/eV/f.u.) = 23.162
# - DFT formation energy (eV per formula unit) = -2.31
# - total energy (eV/atom) = -5.40
# - M_tot (μB per formula unit) = 0.000


# BaAgCl2 (PBE, relaxed)
data_BaAgCl2
_chemical_formula_sum 'Ba4 Ag4 Cl8'
_space_group_name_H-M_alt 'I -4 2 d'
_space_group_IT_number 122
_space_group_name_Hall 'I -4 2bw'
_cell_length_a 5.5549
_cell_length_b 5.5549
_cell_length_c 18.0611
_cell_angle_alpha 90.00
_cell_angle_beta 90.00
_cell_angle_gamma 90.00
loop_
_atom_site_label
_atom_site_type_symbol
_atom_site_fract_x
_atom_site_fract_y
_atom_site_fract_z
_atom_site_occupancy
Ba1 Ba 0.0000 0.0000 0.0000 1
Ag1 Ag 0.0000 0.0000 0.5000 1
Cl1 Cl 0.2285 0.2500 0.6250 1
# - distance to the lowest polymorph of the same formula (meV per atom) = 123
# - N(E_F) (states/eV/f.u.) = 1.677
# - total energy (eV/atom) = -3.31
# - M_tot (μB per formula unit) = 0.000
# - energy relative to the elements, uncorrected (meV/atom) = -1194.2


# Zr2ZnGe (PBE, relaxed)
data_Zr2ZnGe
_chemical_formula_sum 'Zr2 Zn1 Ge1'
_space_group_name_H-M_alt 'P 4/m m m'
_space_group_IT_number 123
_space_group_name_Hall '-P 4 2'
_cell_length_a 4.3460
_cell_length_b 4.3460
_cell_length_c 3.9612
_cell_angle_alpha 90.00
_cell_angle_beta 90.00
_cell_angle_gamma 90.00
loop_
_atom_site_label
_atom_site_type_symbol
_atom_site_fract_x
_atom_site_fract_y
_atom_site_fract_z
_atom_site_occupancy
Zr1 Zr 0.0000 0.5000 0.0000 1
Zn1 Zn 0.0000 0.0000 0.5000 1
Ge1 Ge 0.5000 0.5000 0.5000 1
# - N(E_F) (states/eV/f.u.) = 2.576
# - DFT formation energy (eV per formula unit) = -1.77
# - total energy (eV/atom) = -6.19
# - M_tot (μB per formula unit) = 0.000


Q: Among the records above, which one has the lowest N(E_F)?
A: BaAgCl2


Q: total energy of number 4 (Zr2ZnGe)?
A: -6.19 eV/atom